The following is a GGA+U calculation of a relaxed structure of CsMoO2, from Alexandria.

extended XYZ file:
```
8
Lattice="5.549 0.000 0.000 0.000 5.549 0.000 2.774 2.774 5.807" Properties=species:S:1:pos:R:3 pbc="T T T"
Cs 0.000 0.000 0.000
Cs 5.549 2.774 2.903
Mo 2.774 2.774 0.000
Mo 2.774 5.549 2.903
O 3.228 1.387 1.452
O 2.321 4.162 1.452
O 4.162 5.095 4.355
O 6.936 6.003 4.355
```

Results
DFT total energy (eV per atom): -5.6573
ΔE to the lowest computed polymorph (meV per atom): 36.3
Density of states at the Fermi level (states/eV per atom): 0.01
Crystal system: tetragonal